(1)
Computed, not measured: a relaxed structure of Sr2MgGeC at the PBE level of DFT.

V	180.2	Å³/cell
ΔH_f (0 K)	1.270	eV per atom
calculated total energy	-2.490	eV/atom

Geometry as extended XYZ:
```
5
Lattice="6.1991 0.0000 0.0000 0.0000 6.1991 0.0000 0.0000 0.0000 4.6890" Properties=species:S:1:pos:R:3 pbc="T T T"
Mg 0.0000 0.0000 0.0000
Ge 0.0000 0.0000 2.3445
Sr 0.0000 3.0996 0.0000
Sr 3.0996 0.0000 0.0000
C 3.0996 3.0996 2.3445
```

(2)
Computed, not measured: a relaxed structure of Tm2MgGeC at the PBE level of DFT.

V	97.9	Å³/cell
ΔH_f (0 K)	-0.485	eV per atom
calculated total energy	-5.361	eV/atom

Geometry as extended XYZ:
```
5
Lattice="4.2806 0.0000 0.0000 0.0000 4.7820 0.0000 0.0000 0.0000 4.7820" Properties=species:S:1:pos:R:3 pbc="T T T"
Tm 0.0000 0.0000 2.3910
Mg 2.1403 0.0000 0.0000
Ge 2.1403 2.3910 2.3910
Tm 0.0000 2.3910 0.0000
C 0.0000 0.0000 0.0000
```

(3)
Computed, not measured: a relaxed structure of Y2MgGeC at the PBE level of DFT.

V	102.3	Å³/cell
ΔH_f (0 K)	-0.472	eV per atom
calculated total energy	-6.145	eV/atom

Geometry as extended XYZ:
```
5
Lattice="-2.9599 2.1558 3.2256 -3.7446 -0.5261 -3.0845 -0.8936 -3.8267 1.7375" Properties=species:S:1:pos:R:3 pbc="T T T"
C 0.0000 0.0000 0.0000
Ge -3.7991 -1.0985 0.9393
Y -1.4799 1.0779 1.6128
Mg -0.4468 -1.9133 0.8687
Y -1.8723 -0.2630 -1.5423
```

(4)
Computed, not measured: a relaxed structure of Mn2GeC at the PBE level of DFT.

V	44.5	Å³/cell
ΔH_f (0 K)	0.031	eV per atom
calculated total energy	-8.014	eV/atom

Geometry as extended XYZ:
```
4
Lattice="2.8654 0.0000 0.0000 -1.4327 2.4815 0.0000 0.0000 0.0000 6.2594" Properties=species:S:1:pos:R:3 pbc="T T T"
Ge 0.0000 0.0000 3.1297
C 0.0000 0.0000 0.0000
Mn 1.4327 0.8272 1.0685
Mn 0.0000 1.6543 5.1908
```

(5)
Computed, not measured: a relaxed structure of MnGe3C at the PBE level of DFT.

V	75.1	Å³/cell
ΔH_f (0 K)	1.337	eV per atom
calculated total energy	-5.112	eV/atom

Geometry as extended XYZ:
```
5
Lattice="4.2196 0.0000 0.0000 0.0000 4.2196 0.0000 0.0000 0.0000 4.2196" Properties=species:S:1:pos:R:3 pbc="T T T"
Ge 0.0000 0.0000 2.1098
Ge 2.1098 0.0000 0.0000
Mn 2.1098 2.1098 2.1098
C 0.0000 0.0000 0.0000
Ge 0.0000 2.1098 0.0000
```

(6)
Computed, not measured: a relaxed structure of Mn6Ge3C at the PBE level of DFT.

V	133.8	Å³/cell
ΔH_f (0 K)	0.064	eV per atom
calculated total energy	-7.745	eV/atom

Geometry as extended XYZ:
```
10
Lattice="6.0461 -0.8249 -0.5827 2.2851 4.6549 0.0894 2.2851 1.6399 4.3574" Properties=species:S:1:pos:R:3 pbc="T T T"
Mn 6.5613 2.5051 3.3618
Mn 6.2718 1.2902 0.9114
Mn 4.3446 4.1797 2.9526
Ge 0.0000 0.0000 0.0000
Mn 4.0551 1.4643 2.6265
Ge 2.4420 1.0592 0.7482
Mn 4.0551 2.9648 0.5023
Ge 8.1744 4.4107 3.1158
C 5.3082 2.7350 1.9320
Mn 6.5613 4.0056 1.2376
```

(7)
Computed, not measured: a relaxed structure of Mn2GeC at the PBE level of DFT.

V	43.9	Å³/cell
ΔH_f (0 K)	-0.027	eV per atom
calculated total energy	-8.072	eV/atom

Geometry as extended XYZ:
```
4
Lattice="-1.9142 1.0729 -1.8992 -2.7731 0.3550 0.7783 -0.3168 6.0522 1.5210" Properties=species:S:1:pos:R:3 pbc="T T T"
Mn -3.6514 6.0655 0.4548
Mn -1.3528 1.4146 -0.0547
Ge -2.5021 3.7400 0.2000
C 0.0000 0.0000 0.0000
```

(8)
Computed, not measured: a relaxed structure of Mn2GeC at the PBE level of DFT.

V	91.3	Å³/cell
ΔH_f (0 K)	0.207	eV per atom
calculated total energy	-7.838	eV/atom

Geometry as extended XYZ:
```
8
Lattice="4.8777 0.0000 -0.0703 0.0000 2.7604 0.0000 -2.8820 0.0000 6.8230" Properties=species:S:1:pos:R:3 pbc="T T T"
Mn -0.2400 0.0000 0.7717
C 2.2618 0.0000 5.4366
Mn 0.9349 1.3802 5.4173
C 3.7028 1.3802 2.0251
Ge -0.7734 0.0000 6.4595
Mn -1.6810 1.3802 4.1832
Ge 0.6676 1.3802 3.0480
Mn 2.3759 0.0000 2.0058
```